Record 1
Below is crystalline AlCd2Pd6 at its relaxed geometry, with properties calculated at the PBE-GGA level.

Output
raw total energy = -4.42 eV per atom
ΔE_f = -339 meV/atom

a = 8.051 Å, b = 8.051 Å, c = 2.888 Å
α = 100.01°, β = 100.01°, γ = 56.45°
Fractional positions:
Al  0.000  0.000  0.000
Cd  0.341  0.341  0.351
Cd  0.659  0.659  0.649
Pd  0.016  0.651  0.838
Pd  0.271  0.729  0.500
Pd  0.349  0.984  0.162
Pd  0.651  0.016  0.838
Pd  0.729  0.271  0.500
Pd  0.984  0.349  0.162


Record 2
Below is crystalline AlCd3Pd12 at its relaxed geometry, with properties calculated at the PBE-GGA level.

Output
raw total energy = -4.62 eV per atom
ΔE_f = -324 meV/atom

a = 4.016 Å, b = 4.016 Å, c = 15.868 Å
α = 90.00°, β = 90.00°, γ = 90.00°
Fractional positions:
Al  0.000  0.000  0.000
Cd  0.000  0.000  0.245
Cd  0.000  0.000  0.500
Cd  0.000  0.000  0.755
Pd  0.000  0.500  0.116
Pd  0.000  0.500  0.372
Pd  0.000  0.500  0.628
Pd  0.000  0.500  0.884
Pd  0.500  0.000  0.116
Pd  0.500  0.000  0.372
Pd  0.500  0.000  0.628
Pd  0.500  0.000  0.884
Pd  0.500  0.500  0.000
Pd  0.500  0.500  0.245
Pd  0.500  0.500  0.500
Pd  0.500  0.500  0.755


Record 3
Below is crystalline PmAlCdPd at its relaxed geometry, with properties calculated at the PBE-GGA level.

Output
raw total energy = -4.14 eV per atom
ΔE_f = -488 meV/atom

a = 6.933 Å, b = 6.933 Å, c = 6.933 Å
α = 90.00°, β = 90.00°, γ = 90.00°
Fractional positions:
Pm  0.000  0.000  0.000
Pm  0.000  0.500  0.500
Pm  0.500  0.000  0.500
Pm  0.500  0.500  0.000
Al  0.000  0.000  0.500
Al  0.000  0.500  0.000
Al  0.500  0.000  0.000
Al  0.500  0.500  0.500
Cd  0.250  0.250  0.250
Cd  0.250  0.750  0.750
Cd  0.750  0.250  0.750
Cd  0.750  0.750  0.250
Pd  0.250  0.250  0.750
Pd  0.250  0.750  0.250
Pd  0.750  0.250  0.250
Pd  0.750  0.750  0.750


Record 4
Below is crystalline Pm2Al3CdPd4 at its relaxed geometry, with properties calculated at the PBE-GGA level.

Output
raw total energy = -5.00 eV per atom
ΔE_f = -759 meV/atom

a = 4.326 Å, b = 4.326 Å, c = 10.660 Å
α = 90.00°, β = 90.00°, γ = 90.00°
Fractional positions:
Pm  0.000  0.500  0.242
Pm  0.500  0.000  0.758
Al  0.000  0.500  0.881
Al  0.500  0.000  0.119
Al  0.500  0.500  0.500
Cd  0.000  0.000  0.500
Pd  0.000  0.000  0.000
Pd  0.000  0.500  0.650
Pd  0.500  0.000  0.350
Pd  0.500  0.500  0.000


Record 5
Below is crystalline Pm2Al4CdPd3 at its relaxed geometry, with properties calculated at the PBE-GGA level.

Output
raw total energy = -4.81 eV per atom
ΔE_f = -718 meV/atom

a = 4.295 Å, b = 4.295 Å, c = 10.821 Å
α = 90.00°, β = 90.00°, γ = 90.00°
Fractional positions:
Pm  0.000  0.500  0.240
Pm  0.500  0.000  0.760
Al  0.000  0.000  0.000
Al  0.000  0.500  0.645
Al  0.500  0.000  0.355
Al  0.500  0.500  0.000
Cd  0.000  0.000  0.500
Pd  0.000  0.500  0.873
Pd  0.500  0.000  0.127
Pd  0.500  0.500  0.500


Record 6
Below is crystalline Pr2Al2CdPd5 at its relaxed geometry, with properties calculated at the PBE-GGA level.

Output
raw total energy = -5.07 eV per atom
ΔE_f = -676 meV/atom

a = 10.560 Å, b = 10.560 Å, c = 3.481 Å
α = 90.00°, β = 90.00°, γ = 90.00°
Fractional positions:
Pr  0.177  0.323  0.000
Pr  0.323  0.823  0.000
Pr  0.677  0.177  0.000
Pr  0.823  0.677  0.000
Al  0.122  0.622  0.000
Al  0.378  0.122  0.000
Al  0.622  0.878  0.000
Al  0.878  0.378  0.000
Cd  0.000  0.000  0.000
Cd  0.500  0.500  0.000
Pd  0.000  0.500  0.500
Pd  0.060  0.787  0.500
Pd  0.213  0.060  0.500
Pd  0.287  0.560  0.500
Pd  0.440  0.287  0.500
Pd  0.500  0.000  0.500
Pd  0.560  0.713  0.500
Pd  0.713  0.440  0.500
Pd  0.787  0.940  0.500
Pd  0.940  0.213  0.500


Record 7
Below is crystalline Pr2Al3CdPd4 at its relaxed geometry, with properties calculated at the PBE-GGA level.

Output
raw total energy = -5.00 eV per atom
ΔE_f = -757 meV/atom

a = 4.368 Å, b = 4.368 Å, c = 10.639 Å
α = 90.00°, β = 90.00°, γ = 90.00°
Fractional positions:
Pr  0.000  0.500  0.243
Pr  0.500  0.000  0.757
Al  0.000  0.500  0.882
Al  0.500  0.000  0.118
Al  0.500  0.500  0.500
Cd  0.000  0.000  0.500
Pd  0.000  0.000  0.000
Pd  0.000  0.500  0.648
Pd  0.500  0.000  0.352
Pd  0.500  0.500  0.000


Record 8
Below is crystalline Pr2AlCdPd6 at its relaxed geometry, with properties calculated at the PBE-GGA level.

Output
raw total energy = -5.16 eV per atom
ΔE_f = -620 meV/atom

a = 5.591 Å, b = 6.491 Å, c = 6.768 Å
α = 73.88°, β = 65.77°, γ = 64.57°
Fractional positions:
Pr  0.001  0.250  0.247
Pr  0.999  0.750  0.753
Al  0.500  0.000  0.500
Cd  0.500  0.500  0.000
Pd  0.018  0.187  0.784
Pd  0.320  0.427  0.434
Pd  0.488  0.815  0.215
Pd  0.512  0.185  0.785
Pd  0.680  0.573  0.566
Pd  0.982  0.813  0.216